Record 1
## ZrGa2Si2 (PBE-GGA)

Data for ZrGa2Si2 after structural relaxation.

The uncorrected energy is -4.970 eV/atom. For the energy relative to the elements, uncorrected, the calculation gives 0.119 eV/atom. The density of states at the Fermi level comes out at 6.8 states/eV per cell. The excess energy over the best structure of this formula in the dataset is 0.244 eV/atom.

It has space group I4/mmm (No. 139), with a = 3.5534 Å, b = 3.5534 Å, c = 14.3391 Å, α = 90.00°, β = 90.00° and γ = 90.00°. Symmetry generates all atoms from Zr at (0.0000, 0.0000, 0.0000), Ga at (0.0000, 0.0000, 0.3984) and Si at (0.0000, 0.5000, 0.2500).

Record 2
## Zr2GaSi2 (PBE-GGA)

Data for Zr2GaSi2 after structural relaxation.

The uncorrected energy is -6.669 eV/atom. For the energy relative to the elements, uncorrected, the calculation gives -0.475 eV/atom. The density of states at the Fermi level comes out at 2.9 states/eV per cell.

It has space group I4/mmm (No. 139), with a = 3.4456 Å, b = 3.4456 Å, c = 15.7278 Å, α = 90.00°, β = 90.00° and γ = 90.00°. Symmetry generates all atoms from Zr at (0.0000, 0.0000, 0.1102), Ga at (0.0000, 0.0000, 0.5000) and Si at (0.0000, 0.5000, 0.2500).